Material: Mo3Au
Method: DFT, PBE
State: relaxed

Cell: 5.241 5.241 5.241 Å, 90.00 90.00 90.00°
Sites, in units of the cell vectors:
Mo: 0.500 0.000 0.000
Au: 0.000 0.000 0.000
Mo: 0.000 0.500 0.000
Mo: 0.000 0.000 0.500

Calculated values
SG: No. 221
E_form, eV/atom: 3.233
Calculated density, Mg/m³: 5.6

---

Material: NdScGa2Au4
Method: DFT, PBE
State: relaxed

Cell: 4.664 4.664 8.937 Å, 74.87 74.87 60.00°
Sites, in units of the cell vectors:
Au: 0.609 0.609 0.174
Ga: 0.755 0.755 0.736
Au: 0.132 0.132 0.604
Sc: 0.500 0.500 0.500
Au: 0.868 0.868 0.396
Nd: 0.000 0.000 0.000
Ga: 0.245 0.245 0.264
Au: 0.391 0.391 0.826

Calculated values
SG: No. 166
E_form, eV/atom: -0.624
Calculated density, Mg/m³: 11.5

---

Material: YHoEr2S4
Method: DFT, PBE
State: relaxed

Cell: 3.850 6.752 6.739 Å, 70.91 90.00 90.00°
Sites, in units of the cell vectors:
Er: 0.000 0.000 0.000
S: 0.500 0.753 0.250
S: 0.000 0.754 0.747
S: 0.500 0.247 0.750
Er: 0.500 0.000 0.500
Y: 0.500 0.500 0.000
S: 0.000 0.246 0.253
Ho: 0.000 0.500 0.500

Calculated values
Formation energy (no corrections), meV/atom: -1967
SG: No. 10
Calculated density, Mg/m³: 7.2

---

Material: GaCu2Si2
Method: DFT, PBE
State: relaxed

Cell: 3.593 3.593 6.320 Å, 73.49 73.49 90.00°
Sites, in units of the cell vectors:
Cu: 0.606 0.606 0.788
Si: 0.250 0.750 0.500
Si: 0.750 0.250 0.500
Ga: 0.000 0.000 0.000
Cu: 0.394 0.394 0.212

Calculated values
Formation energy (no corrections), meV/atom: 144
SG: No. 139
Calculated density, Mg/m³: 5.6

---

Q: Look up the calculated density of the first one.
A: 5.6 Mg/m³